No. 1
{
  "formula": "DySc2Pt3",
  "functional": "PBE",
  "state": "relaxed",
  "m_tot_mub_per_cell": 0.0,
  "ef_ev_per_atom": -1.227,
  "total_energy_ev_per_atom": -7.125,
  "cell": [[-2.020, -2.638, 0.180], [2.259, -1.840, -1.607], [4.255, -2.646, 9.009]],
  "species": ["Dy", "Sc", "Sc", "Pt", "Pt", "Pt"],
  "fractional_positions": [[0.500, 0.500, 0.500], [0.500, 0.500, 0.840], [0.500, 0.500, 0.160], [0.000, 0.000, 0.000], [0.000, 0.000, 0.689], [0.000, 0.000, 0.311]]
}

No. 2
{
  "formula": "Dy3Sc7Pt4",
  "functional": "PBE",
  "state": "relaxed",
  "m_tot_mub_per_cell": 0.0,
  "ef_ev_per_atom": -0.781,
  "total_energy_ev_per_atom": -6.659,
  "cell": [[4.441, 0.000, 1.120], [1.694, 7.927, 2.647], [0.101, -0.173, 8.960]],
  "species": ["Dy", "Dy", "Dy", "Sc", "Sc", "Sc", "Sc", "Sc", "Sc", "Sc", "Pt", "Pt", "Pt", "Pt"],
  "fractional_positions": [[0.309, 0.188, 0.193], [0.691, 0.812, 0.807], [0.000, 0.500, 0.500], [0.308, 0.854, 0.531], [0.490, 0.228, 0.792], [0.836, 0.409, 0.920], [0.692, 0.146, 0.469], [0.164, 0.591, 0.080], [0.000, 0.000, 0.000], [0.510, 0.772, 0.208], [0.671, 0.432, 0.227], [0.329, 0.568, 0.773], [0.895, 0.870, 0.340], [0.105, 0.130, 0.660]]
}

No. 3
{
  "formula": "DySc2Pt4",
  "functional": "PBE",
  "state": "relaxed",
  "m_tot_mub_per_cell": 0.0,
  "ef_ev_per_atom": -1.118,
  "total_energy_ev_per_atom": -7.037,
  "cell": [[4.620, 0.168, 0.000], [-2.164, 4.086, 0.000], [0.000, 0.000, 13.843]],
  "species": ["Dy", "Dy", "Sc", "Sc", "Sc", "Sc", "Pt", "Pt", "Pt", "Pt", "Pt", "Pt", "Pt", "Pt"],
  "fractional_positions": [[0.471, 0.529, 0.250], [0.529, 0.471, 0.750], [0.836, 0.164, 0.564], [0.164, 0.836, 0.064], [0.836, 0.164, 0.936], [0.164, 0.836, 0.436], [0.192, 0.808, 0.868], [0.192, 0.808, 0.632], [0.808, 0.192, 0.132], [0.808, 0.192, 0.368], [0.114, 0.886, 0.250], [0.886, 0.114, 0.750], [0.500, 0.500, 0.000], [0.500, 0.500, 0.500]]
}